No. 1
Material: NaScI2Cl
Method: DFT, PBE-GGA
State: relaxed

```
data_NaScI2Cl
_chemical_formula_sum 'Na1 Sc1 I2 Cl1'
_symmetry_space_group_name_H-M 'P 4/m m m'
_symmetry_Int_Tables_number 123
_symmetry_space_group_name_Hall '-P 4 2'
_cell_length_a 5.928
_cell_length_b 5.928
_cell_length_c 4.970
_cell_angle_alpha 90.00
_cell_angle_beta 90.00
_cell_angle_gamma 90.00
loop_
_atom_site_label
_atom_site_type_symbol
_atom_site_fract_x
_atom_site_fract_y
_atom_site_fract_z
Na1 Na 0.000 0.000 0.000
Sc1 Sc 0.500 0.500 0.500
I1 I 0.000 0.500 0.500
Cl1 Cl 0.500 0.500 0.000
```

No. 2
Material: Na6SeI2Cl2
Method: DFT, PBE-GGA
State: relaxed

```
data_Na6SeI2Cl2
_chemical_formula_sum 'Na12 Se2 I4 Cl4'
_symmetry_space_group_name_H-M 'C 1 2/m 1'
_symmetry_Int_Tables_number 12
_symmetry_space_group_name_Hall '-C 2y'
_cell_length_a 7.631
_cell_length_b 12.679
_cell_length_c 7.865
_cell_angle_alpha 90.00
_cell_angle_beta 111.82
_cell_angle_gamma 90.00
loop_
_atom_site_label
_atom_site_type_symbol
_atom_site_fract_x
_atom_site_fract_y
_atom_site_fract_z
Na1 Na 0.216 0.173 0.198
Na2 Na 0.237 0.000 0.803
Se1 Se 0.000 0.000 0.000
I1 I 0.000 0.176 0.500
Cl1 Cl 0.000 0.342 0.000
```

No. 3
Material: NaSeI2Cl
Method: DFT, PBE-GGA
State: relaxed

```
data_NaSeI2Cl
_chemical_formula_sum 'Na1 Se1 I2 Cl1'
_symmetry_space_group_name_H-M 'P 4/m m m'
_symmetry_Int_Tables_number 123
_symmetry_space_group_name_Hall '-P 4 2'
_cell_length_a 5.885
_cell_length_b 5.885
_cell_length_c 5.110
_cell_angle_alpha 90.00
_cell_angle_beta 90.00
_cell_angle_gamma 90.00
loop_
_atom_site_label
_atom_site_type_symbol
_atom_site_fract_x
_atom_site_fract_y
_atom_site_fract_z
Na1 Na 0.000 0.000 0.000
Se1 Se 0.500 0.500 0.500
I1 I 0.000 0.500 0.500
Cl1 Cl 0.500 0.500 0.000
```

No. 4
Material: Na2SnI2Cl2
Method: DFT, PBE-GGA
State: relaxed

```
data_Na2SnI2Cl2
_chemical_formula_sum 'Na2 Sn1 I2 Cl2'
_symmetry_space_group_name_H-M 'P -1'
_symmetry_Int_Tables_number 2
_symmetry_space_group_name_Hall '-P 1'
_cell_length_a 4.531
_cell_length_b 7.649
_cell_length_c 8.164
_cell_angle_alpha 114.38
_cell_angle_beta 105.98
_cell_angle_gamma 90.27
loop_
_atom_site_label
_atom_site_type_symbol
_atom_site_fract_x
_atom_site_fract_y
_atom_site_fract_z
Na1 Na 0.208 0.270 0.423
Sn1 Sn 0.500 0.500 0.000
I1 I 0.129 0.799 0.256
Cl1 Cl 0.363 0.645 0.723
```

No. 5
Material: NaSnI2Cl
Method: DFT, PBE-GGA
State: relaxed

```
data_NaSnI2Cl
_chemical_formula_sum 'Na4 Sn4 I8 Cl4'
_symmetry_space_group_name_H-M 'C m c m'
_symmetry_Int_Tables_number 63
_symmetry_space_group_name_Hall '-C 2c 2'
_cell_length_a 4.488
_cell_length_b 14.952
_cell_length_c 9.951
_cell_angle_alpha 90.00
_cell_angle_beta 90.00
_cell_angle_gamma 90.00
loop_
_atom_site_label
_atom_site_type_symbol
_atom_site_fract_x
_atom_site_fract_y
_atom_site_fract_z
Na1 Na 0.000 0.000 0.000
Sn1 Sn 0.000 0.280 0.250
I1 I 0.000 0.354 0.559
Cl1 Cl 0.000 0.100 0.750
```

No. 6
Material: NaSrICl2
Method: DFT, PBE-GGA
State: relaxed

```
data_NaSrICl2
_chemical_formula_sum 'Na2 Sr2 I2 Cl4'
_symmetry_space_group_name_H-M 'P 1 21/m 1'
_symmetry_Int_Tables_number 11
_symmetry_space_group_name_Hall '-P 2yb'
_cell_length_a 8.361
_cell_length_b 5.096
_cell_length_c 9.045
_cell_angle_alpha 90.00
_cell_angle_beta 107.37
_cell_angle_gamma 90.00
loop_
_atom_site_label
_atom_site_type_symbol
_atom_site_fract_x
_atom_site_fract_y
_atom_site_fract_z
Na1 Na 0.189 0.250 0.018
Sr1 Sr 0.258 0.750 0.434
I1 I 0.175 0.250 0.661
Cl1 Cl 0.162 0.750 0.099
Cl2 Cl 0.403 0.250 0.348
```

No. 7
Material: NaTaI2Cl
Method: DFT, PBE-GGA
State: relaxed

```
data_NaTaI2Cl
_chemical_formula_sum 'Na1 Ta1 I2 Cl1'
_symmetry_space_group_name_H-M 'P 4/m m m'
_symmetry_Int_Tables_number 123
_symmetry_space_group_name_Hall '-P 4 2'
_cell_length_a 5.383
_cell_length_b 5.383
_cell_length_c 7.341
_cell_angle_alpha 90.00
_cell_angle_beta 90.00
_cell_angle_gamma 90.00
loop_
_atom_site_label
_atom_site_type_symbol
_atom_site_fract_x
_atom_site_fract_y
_atom_site_fract_z
Na1 Na 0.000 0.000 0.000
Ta1 Ta 0.000 0.000 0.500
I1 I 0.000 0.500 0.500
Cl1 Cl 0.500 0.500 0.000
```

No. 8
Material: NaTeI2Cl
Method: DFT, PBE-GGA
State: relaxed

```
data_NaTeI2Cl
_chemical_formula_sum 'Na1 Te1 I2 Cl1'
_symmetry_space_group_name_H-M 'P 4/m m m'
_symmetry_Int_Tables_number 123
_symmetry_space_group_name_Hall '-P 4 2'
_cell_length_a 5.725
_cell_length_b 5.725
_cell_length_c 6.328
_cell_angle_alpha 90.00
_cell_angle_beta 90.00
_cell_angle_gamma 90.00
loop_
_atom_site_label
_atom_site_type_symbol
_atom_site_fract_x
_atom_site_fract_y
_atom_site_fract_z
Na1 Na 0.000 0.000 0.000
Te1 Te 0.000 0.000 0.500
I1 I 0.000 0.500 0.000
Cl1 Cl 0.500 0.500 0.500
```

no.,final energy (eV/atom),density of states at the Fermi level (states/eV per cell)
1,-3.72,2.7
2,-3.00,0.0
3,-2.40,5.5
4,-3.11,0.0
5,-2.99,0.0
6,-3.60,0.0
7,-3.54,1.7
8,-1.64,10.4